The following is a DFT calculation (PBE-GGA) of crystalline AcPrGeRh at its relaxed geometry.

It has space group F-43m (No. 216), with a = 7.480 Å, b = 7.480 Å, c = 7.480 Å, α = 90.00°, β = 90.00° and γ = 90.00°. The inequivalent atoms are Ac at (0.000, 0.000, 0.000), Pr at (0.000, 0.000, 0.500), Ge at (0.250, 0.250, 0.750) and Rh at (0.250, 0.250, 0.250).

The value obtained for the spin magnetization is 0.0000 μB per atom. As for the energy above the most stable polymorph in this dataset: 0.00 eV per formula unit. For the final energy, the calculation gives -5.730 eV/atom. The formation energy comes out at -0.52 eV per atom.